Entry from Alexandria via LeMat-Bulk: a geometry-optimized TbMgSi2Pd5 structure (GGA-PBE).

Unit cell a=4.146 b=4.146 c=8.890 alpha=90.00 beta=90.00 gamma=90.00
Fractional coordinates of all 9 atoms:
1 Tb 0.000 0.000 0.000
2 Mg 0.000 0.000 0.500
3 Si 0.500 0.500 0.372
4 Si 0.500 0.500 0.628
5 Pd 0.000 0.500 0.239
6 Pd 0.000 0.500 0.761
7 Pd 0.500 0.000 0.239
8 Pd 0.500 0.000 0.761
9 Pd 0.500 0.500 0.000

Values from the calculation:
- SG = P4/mmm
- calculated total energy (eV per atom) = -5.538
- raw formation energy (eV per formula unit) = -6.8
- calculated volume (Å³ per atom) = 16.98
- total moment (Bohr magnetons per cell) = 0.00

=====

Entry from Alexandria via LeMat-Bulk: a geometry-optimized Li2HfAl structure (GGA-PBE).

Unit cell a=2.877 b=2.877 c=31.775 alpha=90.00 beta=90.00 gamma=120.00
Fractional coordinates of all 12 atoms:
1 Li 0.000 0.000 0.091
2 Li 0.000 0.000 0.909
3 Li 0.333 0.667 0.575
4 Li 0.333 0.667 0.758
5 Li 0.667 0.333 0.242
6 Li 0.667 0.333 0.425
7 Hf 0.000 0.000 0.000
8 Hf 0.333 0.667 0.667
9 Hf 0.667 0.333 0.333
10 Al 0.000 0.000 0.500
11 Al 0.333 0.667 0.167
12 Al 0.667 0.333 0.833

Values from the calculation:
- SG = R-3m
- calculated total energy (eV per atom) = -4.190
- formation enthalpy at 0 K (kJ/mol of formula units) = 74
- calculated volume (Å³ per atom) = 18.98
- total moment (Bohr magnetons per cell) = 0.00

=====

Entry from Alexandria via LeMat-Bulk: a geometry-optimized FeTcPRu structure (GGA-PBE).

Unit cell a=5.887 b=5.887 c=5.887 alpha=90.00 beta=90.00 gamma=90.00
Fractional coordinates of all 16 atoms:
1 Fe 0.000 0.000 0.000
2 Fe 0.000 0.500 0.500
3 Fe 0.500 0.000 0.500
4 Fe 0.500 0.500 0.000
5 Tc 0.250 0.250 0.750
6 Tc 0.250 0.750 0.250
7 Tc 0.750 0.250 0.250
8 Tc 0.750 0.750 0.750
9 P 0.000 0.000 0.500
10 P 0.000 0.500 0.000
11 P 0.500 0.000 0.000
12 P 0.500 0.500 0.500
13 Ru 0.250 0.250 0.250
14 Ru 0.250 0.750 0.750
15 Ru 0.750 0.250 0.750
16 Ru 0.750 0.750 0.250

Values from the calculation:
- SG = F-43m
- calculated total energy (eV per atom) = -8.523
- formation enthalpy at 0 K (kJ/mol of formula units) = -56
- calculated volume (Å³ per atom) = 12.75
- total moment (Bohr magnetons per cell) = 12.53

=====

- Among the records above, which one has the lowest calculated total energy?
  FeTcPRu

=====

- Among the records above, which one has the lowest calculated volume?
  FeTcPRu

=====

Please write out number 1 again, unchanged.
Entry from Alexandria via LeMat-Bulk: a geometry-optimized TbMgSi2Pd5 structure (GGA-PBE).

Unit cell a=4.146 b=4.146 c=8.890 alpha=90.00 beta=90.00 gamma=90.00
Fractional coordinates of all 9 atoms:
1 Tb 0.000 0.000 0.000
2 Mg 0.000 0.000 0.500
3 Si 0.500 0.500 0.372
4 Si 0.500 0.500 0.628
5 Pd 0.000 0.500 0.239
6 Pd 0.000 0.500 0.761
7 Pd 0.500 0.000 0.239
8 Pd 0.500 0.000 0.761
9 Pd 0.500 0.500 0.000

Values from the calculation:
- SG = P4/mmm
- calculated total energy (eV per atom) = -5.538
- raw formation energy (eV per formula unit) = -6.8
- calculated volume (Å³ per atom) = 16.98
- total moment (Bohr magnetons per cell) = 0.00